Entry 1:
Pr2HoO: relaxed, PBE-GGA.

```
data_Pr2HoO
_chemical_formula_sum 'Pr6 Ho3 O3'
_symmetry_space_group_name_H-M 'R -3 m'
_symmetry_Int_Tables_number 166
_symmetry_space_group_name_Hall '-R 3 2"'
_cell_length_a 3.6650
_cell_length_b 3.6650
_cell_length_c 28.0292
_cell_angle_alpha 90.00
_cell_angle_beta 90.00
_cell_angle_gamma 120.00
loop_
_atom_site_label
_atom_site_type_symbol
_atom_site_fract_x
_atom_site_fract_y
_atom_site_fract_z
Pr1 Pr 0.0000 0.0000 0.1179
Ho1 Ho 0.0000 0.0000 0.0000
O1 O 0.0000 0.0000 0.5000
```

Results
The calculation puts the final energy at -5.870 eV per atom. As for the density of states at the Fermi level: 12.851 states/eV per cell. As for the formation energy (no corrections): -1.10 eV per atom. The value obtained for the polymorph energy (0 for the lowest one) is 0.000 eV/atom.

***

Entry 2:
PrHoO3: relaxed, PBE-GGA.

```
data_PrHoO3
_chemical_formula_sum 'Pr2 Ho2 O6'
_symmetry_space_group_name_H-M 'P 1 21/m 1'
_symmetry_Int_Tables_number 11
_symmetry_space_group_name_Hall '-P 2yb'
_cell_length_a 5.794
_cell_length_b 3.941
_cell_length_c 8.270
_cell_angle_alpha 90.00
_cell_angle_beta 100.71
_cell_angle_gamma 90.00
loop_
_atom_site_label
_atom_site_type_symbol
_atom_site_fract_x
_atom_site_fract_y
_atom_site_fract_z
Pr1 Pr 0.226 0.250 0.398
Ho1 Ho 0.396 0.250 0.833
O1 O 0.066 0.250 0.657
O2 O 0.431 0.250 0.115
O3 O 0.445 0.750 0.382
```

Results
The calculation puts the final energy at -8.225 eV per atom. As for the density of states at the Fermi level: 0.000 states/eV per cell. As for the formation energy (no corrections): -3.38 eV per atom.

***

Entry 3:
Pr3HoO6: relaxed, PBE-GGA.

```
data_Pr3HoO6
_chemical_formula_sum 'Pr18 Ho6 O36'
_symmetry_space_group_name_H-M 'R -3'
_symmetry_Int_Tables_number 148
_symmetry_space_group_name_Hall '-R 3'
_cell_length_a 10.0715
_cell_length_b 10.0715
_cell_length_c 11.7303
_cell_angle_alpha 90.00
_cell_angle_beta 90.00
_cell_angle_gamma 120.00
loop_
_atom_site_label
_atom_site_type_symbol
_atom_site_fract_x
_atom_site_fract_y
_atom_site_fract_z
Pr1 Pr 0.0388 0.2660 0.2090
Ho1 Ho 0.0000 0.0000 0.0000
Ho2 Ho 0.0000 0.0000 0.5000
O1 O 0.0275 0.1846 0.8767
O2 O 0.0288 0.2126 0.4053
```

Results
The calculation puts the final energy at -8.261 eV per atom. As for the density of states at the Fermi level: 0.000 states/eV per cell. As for the formation energy (no corrections): -3.39 eV per atom.

***

Entry 4:
Pr2HoO: relaxed, PBE-GGA.

```
data_Pr2HoO
_chemical_formula_sum 'Pr2 Ho1 O1'
_symmetry_space_group_name_H-M 'P 4/m m m'
_symmetry_Int_Tables_number 123
_symmetry_space_group_name_Hall '-P 4 2'
_cell_length_a 3.279
_cell_length_b 3.279
_cell_length_c 9.168
_cell_angle_alpha 90.00
_cell_angle_beta 90.00
_cell_angle_gamma 90.00
loop_
_atom_site_label
_atom_site_type_symbol
_atom_site_fract_x
_atom_site_fract_y
_atom_site_fract_z
Pr1 Pr 0.000 0.000 0.172
Ho1 Ho 0.500 0.500 0.500
O1 O 0.500 0.500 0.000
```

Results
The calculation puts the final energy at -5.572 eV per atom. As for the density of states at the Fermi level: 5.013 states/eV per cell. As for the formation energy (no corrections): -0.80 eV per atom. The value obtained for the polymorph energy (0 for the lowest one) is 0.298 eV/atom.

***

Entry 5:
PrHo3O: relaxed, PBE-GGA.

```
data_PrHo3O
_chemical_formula_sum 'Pr1 Ho3 O1'
_symmetry_space_group_name_H-M 'P m -3 m'
_symmetry_Int_Tables_number 221
_symmetry_space_group_name_Hall '-P 4 2 3'
_cell_length_a 4.959
_cell_length_b 4.959
_cell_length_c 4.959
_cell_angle_alpha 90.00
_cell_angle_beta 90.00
_cell_angle_gamma 90.00
loop_
_atom_site_label
_atom_site_type_symbol
_atom_site_fract_x
_atom_site_fract_y
_atom_site_fract_z
Pr1 Pr 0.000 0.000 0.000
Ho1 Ho 0.000 0.500 0.500
O1 O 0.500 0.500 0.500
```

Results
The calculation puts the final energy at -5.756 eV per atom. As for the density of states at the Fermi level: 7.667 states/eV per cell. As for the formation energy (no corrections): -1.06 eV per atom.

***

Entry 6:
PrHoO3: relaxed, PBE-GGA.

```
data_PrHoO3
_chemical_formula_sum 'Pr4 Ho4 O12'
_symmetry_space_group_name_H-M 'C m m m'
_symmetry_Int_Tables_number 65
_symmetry_space_group_name_Hall '-C 2 2'
_cell_length_a 5.926
_cell_length_b 12.943
_cell_length_c 4.135
_cell_angle_alpha 90.00
_cell_angle_beta 90.00
_cell_angle_gamma 90.00
loop_
_atom_site_label
_atom_site_type_symbol
_atom_site_fract_x
_atom_site_fract_y
_atom_site_fract_z
Pr1 Pr 0.000 0.160 0.000
Ho1 Ho 0.000 0.381 0.500
O1 O 0.000 0.334 0.000
O2 O 0.232 0.000 0.500
O3 O 0.250 0.250 0.500
```

Results
The calculation puts the final energy at -7.875 eV per atom. As for the density of states at the Fermi level: 0.000 states/eV per cell. As for the formation energy (no corrections): -3.03 eV per atom.